(1)
The following is a PBE calculation of a relaxed structure of Sr3Cu2RhO9, from Alexandria via LeMat-Bulk.

Structure (POSCAR):
```
Sr3Cu2RhO9
1.0
-3.459 -4.071 -1.524
5.418 -1.050 0.634
-1.069 -1.552 6.571
Cu O Sr Rh
2 9 3 1
direct
0.667 0.333 0.843
0.333 0.667 0.157
0.333 0.167 0.664
0.833 0.667 0.664
0.833 0.167 0.664
0.500 0.500 0.000
0.000 0.500 0.000
0.167 0.833 0.336
0.500 0.000 0.000
0.167 0.333 0.336
0.667 0.833 0.336
0.667 0.333 0.324
0.333 0.667 0.676
0.000 0.000 0.000
0.000 0.000 0.500
```

Values from the calculation:
Its space-group type is P-3m1, No. 164. For the uncorrected formation energy, the calculation gives -1435 meV per atom.



(2)
The following is a PBE calculation of a relaxed structure of Tb4Nd3Ag, from Alexandria via LeMat-Bulk.

Structure (POSCAR):
```
Tb4Nd3Ag
1.0
3.618 0.000 0.000
0.000 3.618 0.000
0.000 0.000 19.195
Tb Nd Ag
4 3 1
direct
0.000 0.000 0.366
0.000 0.000 0.634
0.000 0.000 0.098
0.000 0.000 0.902
0.500 0.500 0.500
0.500 0.500 0.233
0.500 0.500 0.767
0.500 0.500 0.000
```

Values from the calculation:
For the formation energy from the elements, the calculation gives -0.058 eV/atom. Its space-group type is P4/mmm, No. 123.



(3)
The following is a PBE calculation of a relaxed structure of LaCdCo, from Alexandria via LeMat-Bulk.

Structure (POSCAR):
```
LaCdCo
1.0
4.960 0.000 0.000
2.480 4.295 0.000
2.480 1.432 4.049
La Co Cd
1 1 1
direct
0.250 0.250 0.250
0.500 0.500 0.500
0.000 0.000 0.000
```

Values from the calculation:
For the formation energy from the elements, the calculation gives 0.685 eV/atom. Its space-group type is F-43m, No. 216.